VASP calculation (GGA-PBE) on a relaxed structure of TlCrAg2I.

Calculated values
- E_form (uncorrected) (eV per atom) = 0.6510
- space-group type = P4/mmm
- V (Å³ per atom) = 30.5

The structure in POSCAR format:
```
TlCrAg2I
1.0
5.2253 0.0000 0.0000
0.0000 5.2253 0.0000
0.0000 0.0000 5.5905
Tl Cr Ag I
1 1 2 1
direct
0.0000 0.0000 0.0000
0.0000 0.0000 0.5000
0.0000 0.5000 0.5000
0.5000 0.0000 0.5000
0.5000 0.5000 0.0000
```

VASP calculation (GGA-PBE) on a relaxed structure of LaCoBr.

Calculated values
- E_form (uncorrected) (eV per atom) = -0.1667
- space-group type = F-43m
- V (Å³ per atom) = 22.9

The structure in POSCAR format:
```
LaCoBr
1.0
0.0000 3.2500 3.2500
3.2500 0.0000 3.2500
3.2500 3.2500 0.0000
La Co Br
1 1 1
direct
0.0000 0.0000 0.0000
0.2500 0.2500 0.2500
0.5000 0.5000 0.5000
```

Repeat the second record exactly.
VASP calculation (GGA-PBE) on a relaxed structure of LaCoBr.

Calculated values
- E_form (uncorrected) (eV per atom) = -0.1667
- space-group type = F-43m
- V (Å³ per atom) = 22.9

The structure in POSCAR format:
```
LaCoBr
1.0
0.0000 3.2500 3.2500
3.2500 0.0000 3.2500
3.2500 3.2500 0.0000
La Co Br
1 1 1
direct
0.0000 0.0000 0.0000
0.2500 0.2500 0.2500
0.5000 0.5000 0.5000
```

Among the records above, which one has the lowest E_form (uncorrected)? LaCoBr

The lowest V belongs to which entry? LaCoBr

Number 1 is which compound? TlCrAg2I